CsFePd3 after structural relaxation, computed with PBE.

The structure in extended XYZ format:
```
5
Lattice="5.2597 0.0000 0.0000 0.0000 5.2597 0.0000 0.0000 0.0000 5.2597" Properties=species:S:1:pos:R:3 pbc="T T T"
Cs 0.0000 0.0000 0.0000
Fe 2.6298 2.6298 2.6298
Pd 0.0000 0.0000 2.6298
Pd 0.0000 2.6298 0.0000
Pd 2.6298 0.0000 0.0000
```

Results
As for the space-group type: No. 221. The energy above the most stable polymorph in this dataset comes out at 1366.8 meV/atom. The value obtained for the total magnetization is 3.710 μB/f.u. The calculated formation energy comes out at 1.86 eV per atom.


Ce8Tl2Ir3 after structural relaxation, computed with PBE.

The structure in extended XYZ format:
```
13
Lattice="8.4650 -3.6016 0.0000 8.4650 3.6016 0.0000 -2.2060 0.0000 6.3842" Properties=species:S:1:pos:R:3 pbc="T T T"
Ce 0.6216 0.0000 2.6581
Ce 6.7157 1.5094 0.5744
Ce 4.6681 0.0000 3.0824
Ce 8.0084 1.5094 5.8099
Ce 6.7157 -1.5094 0.5744
Ce 10.0559 0.0000 3.3018
Ce 8.0084 -1.5094 5.8099
Ce 14.1024 0.0000 3.7261
Tl 2.0906 0.0000 5.4905
Tl 12.6334 0.0000 0.8938
Ir 0.0000 0.0000 0.0000
Ir 7.3620 1.4029 3.1921
Ir 7.3620 -1.4029 3.1921
```

Results
As for the space-group type: No. 12. The value obtained for the total magnetization is 6.269 μB/f.u. The calculated formation energy comes out at -0.29 eV per atom.


Ag3Se4 after structural relaxation, computed with PBE.

The structure in extended XYZ format:
```
7
Lattice="6.2602 0.0000 0.0000 -3.1301 5.4215 0.0000 0.0000 0.0000 4.6574" Properties=species:S:1:pos:R:3 pbc="T T T"
Ag -1.5650 2.7107 0.0000
Ag 3.1301 0.0000 0.0000
Ag 1.5650 2.7107 0.0000
Se 0.0000 0.0000 1.2346
Se 0.0000 0.0000 3.4227
Se 0.0000 3.6143 2.3287
Se 3.1301 1.8072 2.3287
```

Results
As for the space-group type: No. 191. The energy above the most stable polymorph in this dataset comes out at 241.8 meV/atom. The value obtained for the total magnetization is 0.000 μB/f.u.


LiMnBiS3 after structural relaxation, computed with PBE.

The structure in extended XYZ format:
```
12
Lattice="7.7308 0.0000 0.0000 0.0000 3.9022 0.0000 -2.2102 0.0000 7.9637" Properties=species:S:1:pos:R:3 pbc="T T T"
Li 0.5529 0.9756 0.6744
Li 4.9677 2.9267 7.2893
Mn 1.8307 2.9267 2.6256
Mn 3.6899 0.9756 5.3381
Bi -0.0660 0.9756 5.7374
Bi 5.5866 2.9267 2.2262
S -0.0621 0.9756 2.9458
S 1.7528 2.9267 0.1740
S 1.9148 2.9267 5.1271
S 3.6058 0.9756 2.8366
S 3.7678 0.9756 7.7897
S 5.5827 2.9267 5.0179
```

Results
As for the space-group type: No. 11. The value obtained for the total magnetization is 5.004 μB/f.u. The total energy is -5.1336 eV/atom.